The following is a PBE+U calculation of a geometry-optimized BaCoNO structure, from OQMD.

symmetry = Pmc2_1 (26)
total magnetic moment = 5.4 μB per cell
E = -0.21397 Ha/atom

Cell lengths 3.6790, 5.7549, 6.2010 Å; angles 90.00, 90.00, 90.00 degrees
Closest atoms and distances in Å follow each position.
Fractional positions:
Ba1 0.5000 0.5019 0.7567  3 O 2.62-2.92, 4 N 2.79-2.87
N1 0.0000 0.7543 0.4901  2 Co 1.82-1.85
Co1 0.0000 0.9991 0.6823  2 N 1.82-1.85, 2 O 2.03
O1 0.5000 0.4987 0.1796  2 Co 2.03
Ba2 0.5000 0.0019 0.2433  3 O 2.62-2.92, 4 N 2.79-2.87
O2 0.5000 0.9987 0.8204  2 Co 2.03
Co2 0.0000 0.4991 0.3177  2 N 1.82-1.85, 2 O 2.03
N2 0.0000 0.2543 0.5099  2 Co 1.82-1.85